Record 1
{
  "formula": "NbNiN2F",
  "functional": "meta-GGA SCAN",
  "state": "PBEsol geometry",
  "sg": "P4/mmm",
  "formation_energy_uncorrected_mev_per_atom": 24.5,
  "cell": [[3.7194, 0.0000, 0.0000], [0.0000, 3.7194, 0.0000], [0.0000, 0.0000, 3.5194]],
  "species": ["Nb", "Ni", "N", "N", "F"],
  "frac_coords": [[0.0000, 0.0000, 0.0000], [0.5000, 0.5000, 0.5000], [0.0000, 0.5000, 0.5000], [0.5000, 0.0000, 0.5000], [0.5000, 0.5000, 0.0000]]
}

***

Record 2
{
  "formula": "NbNOF2",
  "functional": "meta-GGA SCAN",
  "state": "PBEsol geometry",
  "sg": "P4/mmm",
  "formation_energy_uncorrected_mev_per_atom": -1070.7,
  "cell": [[4.0516, 0.0000, 0.0000], [0.0000, 4.0516, 0.0000], [0.0000, 0.0000, 3.9325]],
  "species": ["Nb", "N", "O", "F", "F"],
  "frac_coords": [[0.0000, 0.0000, 0.0000], [0.0000, 0.0000, 0.5000], [0.5000, 0.5000, 0.5000], [0.0000, 0.5000, 0.0000], [0.5000, 0.0000, 0.0000]]
}

***

Record 3
{
  "formula": "NbPdN2F",
  "functional": "meta-GGA SCAN",
  "state": "PBEsol geometry",
  "sg": "P4/mmm",
  "formation_energy_uncorrected_mev_per_atom": -228.8,
  "cell": [[4.0565, 0.0000, 0.0000], [0.0000, 4.0565, 0.0000], [0.0000, 0.0000, 3.9682]],
  "species": ["Nb", "Pd", "N", "N", "F"],
  "frac_coords": [[0.0000, 0.0000, 0.0000], [0.5000, 0.5000, 0.5000], [0.0000, 0.5000, 0.0000], [0.5000, 0.0000, 0.0000], [0.0000, 0.0000, 0.5000]]
}

***

Record 4
{
  "formula": "NbSN2F",
  "functional": "meta-GGA SCAN",
  "state": "PBEsol geometry",
  "de_polymorph_mev_per_atom": 315,
  "sg": "P4/mmm",
  "formation_energy_uncorrected_mev_per_atom": 393.4,
  "cell": [[3.9883, 0.0000, 0.0000], [0.0000, 3.9883, 0.0000], [0.0000, 0.0000, 4.9207]],
  "species": ["Nb", "S", "N", "N", "F"],
  "frac_coords": [[0.0000, 0.0000, 0.0000], [0.0000, 0.0000, 0.5000], [0.0000, 0.5000, 0.0000], [0.5000, 0.0000, 0.0000], [0.5000, 0.5000, 0.5000]]
}

***

Record 5
{
  "formula": "NbSN2F",
  "functional": "meta-GGA SCAN",
  "state": "PBEsol geometry",
  "de_polymorph_mev_per_atom": 0,
  "sg": "P4/mmm",
  "formation_energy_uncorrected_mev_per_atom": 78.7,
  "cell": [[4.0878, 0.0000, 0.0000], [0.0000, 4.0878, 0.0000], [0.0000, 0.0000, 3.9781]],
  "species": ["Nb", "S", "N", "N", "F"],
  "frac_coords": [[0.0000, 0.0000, 0.0000], [0.5000, 0.5000, 0.5000], [0.0000, 0.5000, 0.0000], [0.5000, 0.0000, 0.0000], [0.0000, 0.0000, 0.5000]]
}

***

Record 6
{
  "formula": "NbSe2NF",
  "functional": "meta-GGA SCAN",
  "state": "PBEsol geometry",
  "sg": "P4/mmm",
  "formation_energy_uncorrected_mev_per_atom": 1019.2,
  "cell": [[4.4373, 0.0000, 0.0000], [0.0000, 4.4373, 0.0000], [0.0000, 0.0000, 3.7552]],
  "species": ["Nb", "Se", "Se", "N", "F"],
  "frac_coords": [[0.0000, 0.0000, 0.0000], [0.0000, 0.5000, 0.5000], [0.5000, 0.0000, 0.5000], [0.5000, 0.5000, 0.0000], [0.5000, 0.5000, 0.5000]]
}

***

Record 7
{
  "formula": "NbSeN2F",
  "functional": "meta-GGA SCAN",
  "state": "PBEsol geometry",
  "sg": "P4/mmm",
  "formation_energy_uncorrected_mev_per_atom": -86.1,
  "cell": [[4.1046, 0.0000, 0.0000], [0.0000, 4.1046, 0.0000], [0.0000, 0.0000, 4.0032]],
  "species": ["Nb", "Se", "N", "N", "F"],
  "frac_coords": [[0.0000, 0.0000, 0.0000], [0.5000, 0.5000, 0.5000], [0.0000, 0.5000, 0.0000], [0.5000, 0.0000, 0.0000], [0.0000, 0.0000, 0.5000]]
}

***

Record 8
{
  "formula": "NbSeNF2",
  "functional": "meta-GGA SCAN",
  "state": "PBEsol geometry",
  "sg": "P4/mmm",
  "formation_energy_uncorrected_mev_per_atom": 317.5,
  "cell": [[4.3048, 0.0000, 0.0000], [0.0000, 4.3048, 0.0000], [0.0000, 0.0000, 3.8760]],
  "species": ["Nb", "Se", "N", "F", "F"],
  "frac_coords": [[0.0000, 0.0000, 0.0000], [0.5000, 0.5000, 0.5000], [0.5000, 0.5000, 0.0000], [0.0000, 0.5000, 0.5000], [0.5000, 0.0000, 0.5000]]
}

***

Record 9
{
  "formula": "NbSnNF2",
  "functional": "meta-GGA SCAN",
  "state": "PBEsol geometry",
  "sg": "P4/mmm",
  "formation_energy_uncorrected_mev_per_atom": -1207.5,
  "cell": [[4.2459, 0.0000, 0.0000], [0.0000, 4.2459, 0.0000], [0.0000, 0.0000, 4.0544]],
  "species": ["Nb", "Sn", "N", "F", "F"],
  "frac_coords": [[0.0000, 0.0000, 0.0000], [0.5000, 0.5000, 0.5000], [0.0000, 0.0000, 0.5000], [0.0000, 0.5000, 0.0000], [0.5000, 0.0000, 0.0000]]
}

***

Record 10
{
  "formula": "NbTlN2F",
  "functional": "meta-GGA SCAN",
  "state": "PBEsol geometry",
  "sg": "P4/mmm",
  "formation_energy_uncorrected_mev_per_atom": 1123.4,
  "cell": [[4.1917, 0.0000, 0.0000], [0.0000, 4.1917, 0.0000], [0.0000, 0.0000, 4.1790]],
  "species": ["Nb", "Tl", "N", "N", "F"],
  "frac_coords": [[0.0000, 0.0000, 0.0000], [0.5000, 0.5000, 0.5000], [0.0000, 0.5000, 0.5000], [0.5000, 0.0000, 0.5000], [0.5000, 0.5000, 0.0000]]
}

***

Record 11
{
  "formula": "NbWN2F",
  "functional": "meta-GGA SCAN",
  "state": "PBEsol geometry",
  "sg": "P4/mmm",
  "formation_energy_uncorrected_mev_per_atom": 379.3,
  "cell": [[4.0887, 0.0000, 0.0000], [0.0000, 4.0887, 0.0000], [0.0000, 0.0000, 3.8923]],
  "species": ["Nb", "W", "N", "N", "F"],
  "frac_coords": [[0.0000, 0.0000, 0.0000], [0.5000, 0.5000, 0.5000], [0.0000, 0.5000, 0.0000], [0.5000, 0.0000, 0.0000], [0.0000, 0.0000, 0.5000]]
}

***

Record 12
{
  "formula": "NbZnN2F",
  "functional": "meta-GGA SCAN",
  "state": "PBEsol geometry",
  "sg": "P4/mmm",
  "formation_energy_uncorrected_mev_per_atom": 276.9,
  "cell": [[3.8406, 0.0000, 0.0000], [0.0000, 3.8406, 0.0000], [0.0000, 0.0000, 3.6333]],
  "species": ["Nb", "Zn", "N", "N", "F"],
  "frac_coords": [[0.0000, 0.0000, 0.0000], [0.5000, 0.5000, 0.5000], [0.0000, 0.5000, 0.5000], [0.5000, 0.0000, 0.5000], [0.5000, 0.5000, 0.0000]]
}

***

Calculated volume (computed, Å³/cell): 49 65 65 78 66 74 67 72 73 73 65 54
DOS(E_F) (computed, states/eV per cell): 2.0 0.6 2.8 3.3 2.2 2.3 1.8 1.6 2.3 3.0 1.7 2.6